The following is a DFT calculation (PBE) of crystalline Al2NiPd2 at its relaxed geometry.

abc: 2.948 2.967 8.269
angles: 79.66 90.00 90.00
Positions (direct):
Pd1 0.000 0.177 0.647
Pd2 0.000 0.823 0.353
Al1 0.500 0.588 0.825
Al2 0.500 0.412 0.175
Ni1 0.000 0.000 0.000

Formation energy (eV/f.u.): -3.3
Space-group type: Cmmm, No. 65
Energy relative to the lowest polymorph listed for this composition (meV per atom): 0